Computed, not measured: Y2H2Pd after structural relaxation at the PBE level of DFT.

Output
E above lowest polymorph: 0 meV/atom

```
data_Y2H2Pd
_symmetry_space_group_name_H-M 'I 4/m m m'
_symmetry_Int_Tables_number 139
_symmetry_space_group_name_Hall '-I 4 2'
_cell_length_a 3.538
_cell_length_b 3.538
_cell_length_c 12.525
_cell_angle_alpha 90.00
_cell_angle_beta 90.00
_cell_angle_gamma 90.00
loop_
_atom_site_label
_atom_site_type_symbol
_atom_site_fract_x
_atom_site_fract_y
_atom_site_fract_z
Y1 Y 0.000 0.000 0.142
H1 H 0.000 0.500 0.250
Pd1 Pd 0.000 0.000 0.500
```


Computed, not measured: Y3H12Pd5 after structural relaxation at the PBE level of DFT.

```
data_Y3H12Pd5
_symmetry_space_group_name_H-M 'I a -3 d'
_symmetry_Int_Tables_number 230
_symmetry_space_group_name_Hall '-I 4bd 2c 3'
_cell_length_a 11.824
_cell_length_b 11.824
_cell_length_c 11.824
_cell_angle_alpha 90.00
_cell_angle_beta 90.00
_cell_angle_gamma 90.00
loop_
_atom_site_label
_atom_site_type_symbol
_atom_site_fract_x
_atom_site_fract_y
_atom_site_fract_z
Y1 Y 0.000 0.250 0.125
H1 H 0.028 0.054 0.646
Pd1 Pd 0.000 0.000 0.000
Pd2 Pd 0.000 0.250 0.375
```


Computed, not measured: YH3Pd after structural relaxation at the PBE level of DFT.

```
data_YH3Pd
_symmetry_space_group_name_H-M 'P -1'
_symmetry_Int_Tables_number 2
_symmetry_space_group_name_Hall '-P 1'
_cell_length_a 3.613
_cell_length_b 5.414
_cell_length_c 6.141
_cell_angle_alpha 108.20
_cell_angle_beta 107.11
_cell_angle_gamma 90.21
loop_
_atom_site_label
_atom_site_type_symbol
_atom_site_fract_x
_atom_site_fract_y
_atom_site_fract_z
Y1 Y 0.110 0.308 0.225
H1 H 0.176 0.919 0.352
H2 H 0.311 0.465 0.621
H3 H 0.495 0.228 0.996
Pd1 Pd 0.346 0.138 0.691
```


Computed, not measured: YHPd3 after structural relaxation at the PBE level of DFT.

Output
E above lowest polymorph: 277 meV/atom

```
data_YHPd3
_symmetry_space_group_name_H-M 'P n m a'
_symmetry_Int_Tables_number 62
_symmetry_space_group_name_Hall '-P 2ac 2n'
_cell_length_a 5.059
_cell_length_b 8.209
_cell_length_c 7.838
_cell_angle_alpha 90.00
_cell_angle_beta 90.00
_cell_angle_gamma 90.00
loop_
_atom_site_label
_atom_site_type_symbol
_atom_site_fract_x
_atom_site_fract_y
_atom_site_fract_z
Y1 Y 0.000 0.000 0.000
H1 H 0.088 0.250 0.128
Pd1 Pd 0.004 0.091 0.652
Pd2 Pd 0.075 0.750 0.670
```


| no. | Fermi-level density of states (states/eV/atom) | DFT total energy (eV per cell) |
| --- | --- | --- |
| 1 | 0.419 | -57.2 |
| 2 | 0.338 | -739.9 |
| 3 | 0.318 | -47.8 |
| 4 | 0.385 | -110.7 |